[1]
Material: ZrHg2I
Method: DFT, GGA-PBE
State: optimized geometry

a b c (Å): 5.3626 5.3626 5.3626
angles (deg): 60.00 60.00 60.00
Each line ends with the local moment (μB).
Element x y z (fractional)
1 I 0.5000 0.5000 0.5000  0.01
2 Hg 0.2500 0.2500 0.2500  0.04
3 Hg 0.7500 0.7500 0.7500  0.04
4 Zr 0.0000 0.0000 0.0000  1.16

As for the density of states at the Fermi level: 1.561 states/eV per atom. The polymorph energy (0 for the lowest one) comes out at 328.3 meV per atom. Its symmetry is Fm-3m, No. 225. The raw formation energy is 1.9 eV per formula unit. As for the crystal system: cubic.



[2]
Material: Zr2Hg2I7
Method: DFT, GGA-PBE
State: optimized geometry

a b c (Å): 8.0318 8.0318 10.7911
angles (deg): 94.03 94.03 112.17
Each line ends with the local moment (μB).
Element x y z (fractional)
1 Zr 0.3032 0.3032 0.9138  0.33
2 Zr 0.6968 0.6968 0.0862  0.33
3 Hg 0.3542 0.6458 0.5000  0.00
4 Hg 0.6458 0.3542 0.5000  0.00
5 I 0.9411 0.5880 0.2093  0.00
6 I 0.4120 0.0589 0.7907  0.00
7 I 0.0589 0.4120 0.7907  0.00
8 I 0.5880 0.9411 0.2093  0.00
9 I 0.0000 0.0000 0.0000  0.01
10 I 0.5961 0.5961 0.8257  0.00
11 I 0.4039 0.4039 0.1743  0.00

As for the density of states at the Fermi level: 0.090 states/eV per atom. Its symmetry is C2/m, No. 12. The raw formation energy is -7.0 eV per formula unit. As for the crystal system: monoclinic.



[3]
Material: ZrHg2I5
Method: DFT, GGA-PBE
State: optimized geometry

a b c (Å): 8.2990 8.2969 8.2518
angles (deg): 109.56 103.38 115.90
Element x y z (fractional)
1 Zr 0.0003 0.9988 0.9989
2 Hg 0.4961 0.7792 0.2767
3 Hg 0.5012 0.4633 0.9644
4 I 0.9737 0.7103 0.1200
5 I 0.4097 0.1462 0.1200
6 I 0.5921 0.7034 0.7318
7 I 0.0287 0.1399 0.7317
8 I 0.9982 0.2819 0.2796

As for the density of states at the Fermi level: 0.325 states/eV per atom. Its symmetry is P1, No. 1. The raw formation energy is -4.4 eV per formula unit. As for the crystal system: triclinic.



[4]
Material: ZrHgI
Method: DFT, GGA-PBE
State: optimized geometry

a b c (Å): 3.6551 3.6550 15.6926
angles (deg): 90.00 90.00 120.00
Each line ends with the local moment (μB).
Element x y z (fractional)
1 Hg 0.6109 0.2217 0.0000  0.08
2 Hg 0.2787 0.5574 0.5000  0.00
3 I 0.6109 0.2219 0.2692  -0.01
4 I 0.6109 0.2219 0.7308  -0.01
5 Zr 0.2776 0.5551 0.1397  0.39
6 Zr 0.2776 0.5551 0.8603  0.39

As for the density of states at the Fermi level: 0.637 states/eV per atom. Its symmetry is Amm2, No. 38. The raw formation energy is -1.0 eV per formula unit. As for the crystal system: orthorhombic.



[5]
Material: Zr2Hg2I
Method: DFT, GGA-PBE
State: optimized geometry

a b c (Å): 7.5705 7.5705 4.3060
angles (deg): 90.00 90.00 90.00
Element x y z (fractional)
1 I 0.0000 0.0000 0.0000
2 I 0.5000 0.5000 0.0000
3 Hg 0.1500 0.6500 0.5000
4 Hg 0.6500 0.8500 0.5000
5 Hg 0.8500 0.3500 0.5000
6 Hg 0.3500 0.1500 0.5000
7 Zr 0.3523 0.8523 0.0000
8 Zr 0.8523 0.6477 0.0000
9 Zr 0.6477 0.1477 0.0000
10 Zr 0.1477 0.3523 0.0000

As for the density of states at the Fermi level: 0.705 states/eV per atom. Its symmetry is P4/mbm, No. 127. The raw formation energy is -0.4 eV per formula unit. As for the crystal system: tetragonal.



[6]
Material: In3Hg2
Method: DFT, GGA-PBE
State: optimized geometry

a b c (Å): 4.7120 5.7883 5.7799
angles (deg): 78.70 65.94 65.98
Element x y z (fractional)
1 In 0.8029 0.2922 0.1019
2 In 0.0000 0.5000 0.5000
3 In 0.1971 0.7078 0.8981
4 Hg 0.4036 0.8930 0.2997
5 Hg 0.5964 0.1070 0.7003

As for the density of states at the Fermi level: 0.372 states/eV per atom. The polymorph energy (0 for the lowest one) comes out at 6.8 meV per atom. Its symmetry is C2/m, No. 12. The value obtained for the energy of formation is 0.0078 eV per atom. As for the crystal system: monoclinic.



[7]
Material: In5Hg
Method: DFT, GGA-PBE
State: optimized geometry

a b c (Å): 5.4967 6.1681 9.8003
angles (deg): 90.00 90.00 99.64
Element x y z (fractional)
1 In 0.7686 0.0146 0.2500
2 In 0.2314 0.9854 0.7500
3 In 0.2512 0.8811 0.4168
4 In 0.7488 0.1189 0.9168
5 In 0.7488 0.1189 0.5832
6 In 0.2512 0.8811 0.0832
7 In 0.2442 0.3807 0.4191
8 In 0.7558 0.6193 0.9191
9 In 0.7558 0.6193 0.5809
10 In 0.2442 0.3807 0.0809
11 Hg 0.7537 0.5115 0.2500
12 Hg 0.2463 0.4885 0.7500

As for the density of states at the Fermi level: 0.425 states/eV per atom. The polymorph energy (0 for the lowest one) comes out at 14.7 meV per atom. Its symmetry is P2_1/m, No. 11. The value obtained for the energy of formation is 0.0244 eV per atom. As for the crystal system: monoclinic.



[8]
Material: InHg
Method: DFT, GGA-PBE
State: optimized geometry

a b c (Å): 3.9006 4.8950 5.8246
angles (deg): 90.00 103.26 90.00
Element x y z (fractional)
1 In 0.0000 0.0000 0.0000
2 In 0.0000 0.5000 0.5000
3 Hg 0.5000 0.0000 0.5000
4 Hg 0.5000 0.5000 0.0000

As for the density of states at the Fermi level: 0.348 states/eV per atom. Its symmetry is C2/m, No. 12. The value obtained for the energy of formation is 0.0035 eV per atom. As for the crystal system: monoclinic.



[9]
Material: InHg
Method: DFT, GGA-PBE
State: optimized geometry

a b c (Å): 11.7067 11.7067 3.2315
angles (deg): 90.00 90.00 90.00
Element x y z (fractional)
1 In 0.3725 0.8822 0.0000
2 In 0.6275 0.1178 0.0000
3 In 0.1178 0.3725 0.0000
4 In 0.8822 0.6275 0.0000
5 In 0.8725 0.3822 0.5000
6 In 0.1275 0.6178 0.5000
7 In 0.6178 0.8725 0.5000
8 In 0.3822 0.1275 0.5000
9 Hg 0.3782 0.3647 0.0000
10 Hg 0.6218 0.6353 0.0000
11 Hg 0.6353 0.3782 0.0000
12 Hg 0.3647 0.6218 0.0000
13 Hg 0.8782 0.8647 0.5000
14 Hg 0.1218 0.1353 0.5000
15 Hg 0.1353 0.8782 0.5000
16 Hg 0.8647 0.1218 0.5000

As for the density of states at the Fermi level: 0.354 states/eV per atom. Its symmetry is I4/m, No. 87. The value obtained for the energy of formation is 0.0230 eV per atom. As for the crystal system: tetragonal.



[10]
Material: In8Hg3
Method: DFT, GGA-PBE
State: optimized geometry

a b c (Å): 6.8597 6.8597 6.8597
angles (deg): 93.11 93.11 93.11
Element x y z (fractional)
1 In 0.9068 0.3196 0.0926
2 In 0.3196 0.0926 0.9068
3 In 0.0926 0.9068 0.3196
4 In 0.3620 0.3620 0.3620
5 In 0.6380 0.6380 0.6380
6 In 0.9074 0.0932 0.6804
7 In 0.6804 0.9074 0.0932
8 In 0.0932 0.6804 0.9074
9 Hg 0.5000 0.0000 0.5000
10 Hg 0.0000 0.5000 0.5000
11 Hg 0.5000 0.5000 0.0000

As for the density of states at the Fermi level: 0.517 states/eV per atom. The polymorph energy (0 for the lowest one) comes out at 21.2 meV per atom. Its symmetry is R-3, No. 148. The value obtained for the energy of formation is 0.0895 eV per atom. As for the crystal system: trigonal.



[11]
Material: InHg
Method: DFT, GGA-PBE
State: optimized geometry

a b c (Å): 3.7368 4.9978 6.0250
angles (deg): 90.71 105.64 90.05
Element x y z (fractional)
1 In 0.4598 0.7270 0.2493
2 In 0.5402 0.2730 0.7507
3 Hg 0.9676 0.2267 0.2618
4 Hg 0.0324 0.7733 0.7382

As for the density of states at the Fermi level: 0.295 states/eV per atom. Its symmetry is P-1, No. 2. The value obtained for the energy of formation is 0.0013 eV per atom. As for the crystal system: triclinic.



[12]
Material: In17Hg12
Method: DFT, GGA-PBE
State: optimized geometry

a b c (Å): 9.9963 9.9963 9.9963
angles (deg): 109.47 109.47 109.47
Element x y z (fractional)
1 Hg 0.1923 0.0000 0.3794
2 Hg 0.3794 0.0000 0.1923
3 Hg 0.6206 0.8129 0.6206
4 Hg 0.8077 0.1871 0.8077
5 Hg 0.0000 0.1923 0.3794
6 Hg 0.0000 0.3794 0.1923
7 Hg 0.1871 0.8077 0.8077
8 Hg 0.8129 0.6206 0.6206
9 Hg 0.8077 0.8077 0.1871
10 Hg 0.6206 0.6206 0.8129
11 Hg 0.1923 0.3794 0.0000
12 Hg 0.3794 0.1923 0.0000
13 In 0.6915 0.0000 0.4063
14 In 0.4063 0.0000 0.6915
15 In 0.5937 0.2852 0.5937
16 In 0.3085 0.7148 0.3085
17 In 0.0000 0.6915 0.4063
18 In 0.0000 0.4063 0.6915
19 In 0.7148 0.3085 0.3085
20 In 0.2852 0.5937 0.5937
21 In 0.3085 0.3085 0.7148
22 In 0.5937 0.5937 0.2852
23 In 0.6915 0.4063 0.0000
24 In 0.4063 0.6915 0.0000
25 In 0.0000 0.0000 0.6627
26 In 0.6627 0.0000 0.0000
27 In 0.3373 0.3373 0.3373
28 In 0.0000 0.6627 0.0000
29 In 0.0000 0.0000 0.0000

As for the density of states at the Fermi level: 0.363 states/eV per atom. Its symmetry is I-43m, No. 217. The value obtained for the energy of formation is 0.0250 eV per atom. As for the crystal system: cubic.